Material: Er5HfRh6
Method: DFT, GGA-PBE
State: relaxed

- V (A^3/atom) = 19.2
- energy of formation (kcal/mol of atoms) = -21.48
- ρ (g cm⁻³) = 11.75

Unit cell a=7.463 b=7.463 c=6.922 alpha=90.00 beta=90.00 gamma=143.27
Fractional positions:
Er (0.000, 0.000, 0.000)
Er (0.333, 0.667, 0.500)
Er (0.334, 0.666, 0.000)
Er (0.666, 0.334, 0.000)
Er (0.667, 0.333, 0.500)
Hf (0.000, 0.000, 0.500)
Rh (0.161, 0.839, 0.256)
Rh (0.161, 0.839, 0.744)
Rh (0.500, 0.500, 0.265)
Rh (0.500, 0.500, 0.735)
Rh (0.839, 0.161, 0.256)
Rh (0.839, 0.161, 0.744)